# 1
VASP calculation (GGA-PBE) on a relaxed CaBiPd2 crystal.

Values from the calculation:
D(E_F)   0.552 states/eV per atom
Crystal system   tetragonal
VASP energy   -4.5459 eV/atom
Spin magnetization   0.000 μB/atom

POSCAR file:
```
CaBiPd2
1.0
3.612 0.000 0.000
0.000 3.612 0.000
0.000 0.000 6.633
Ca Bi Pd
1 1 2
direct
0.000 0.000 0.000 Ca
0.000 0.000 0.500 Bi
0.500 0.500 0.260 Pd
0.500 0.500 0.740 Pd
```


# 2
VASP calculation (GGA-PBE) on a relaxed Ca2Bi2Pd crystal.

Values from the calculation:
D(E_F)   0.460 states/eV per atom
ΔE to the lowest computed polymorph   0.0 meV per atom
Crystal system   monoclinic
VASP energy   -4.1070 eV/atom
Spin magnetization   0.000 μB/atom

POSCAR file:
```
Ca2Bi2Pd
1.0
5.845 -2.305 0.000
5.845 2.305 0.000
-4.853 0.000 10.496
Ca Bi Pd
4 4 2
direct
0.011 0.011 0.340 Ca
0.174 0.174 0.118 Ca
0.826 0.826 0.882 Ca
0.989 0.989 0.660 Ca
0.338 0.338 0.429 Bi
0.458 0.458 0.120 Bi
0.542 0.542 0.880 Bi
0.662 0.662 0.571 Bi
0.305 0.305 0.673 Pd
0.695 0.695 0.327 Pd
```


# 3
VASP calculation (GGA-PBE) on a relaxed Ca2Bi2Pd3 crystal.

Values from the calculation:
D(E_F)   0.536 states/eV per atom
Crystal system   monoclinic
VASP energy   -4.5191 eV/atom
Spin magnetization   0.000 μB/atom

POSCAR file:
```
Ca2Bi2Pd3
1.0
5.699 -2.200 0.000
5.699 2.200 0.000
-2.794 0.000 6.588
Ca Bi Pd
2 2 3
direct
0.124 0.124 0.249 Ca
0.876 0.876 0.751 Ca
0.157 0.157 0.736 Bi
0.843 0.843 0.264 Bi
0.398 0.398 0.069 Pd
0.500 0.500 0.500 Pd
0.602 0.602 0.931 Pd
```


# 4
VASP calculation (GGA-PBE) on a relaxed Ca3Bi2Pd6 crystal.

Values from the calculation:
D(E_F)   0.729 states/eV per atom
Crystal system   cubic
VASP energy   -4.6505 eV/atom
Spin magnetization   0.038 μB/atom

POSCAR file:
```
Ca3Bi2Pd6
1.0
-4.941 4.941 4.941
4.941 -4.941 4.941
4.941 4.941 -4.941
Ca Bi Pd
6 4 12
direct
0.000 0.292 0.292 Ca
0.000 0.708 0.708 Ca
0.292 0.000 0.292 Ca
0.292 0.292 0.000 Ca
0.708 0.000 0.708 Ca
0.708 0.708 0.000 Ca
0.000 0.000 0.500 Bi
0.000 0.500 0.000 Bi
0.500 0.000 0.000 Bi
0.500 0.500 0.500 Bi
0.000 0.346 0.654 Pd
0.000 0.654 0.346 Pd
0.308 0.654 0.654 Pd
0.346 0.000 0.654 Pd
0.346 0.346 0.692 Pd
0.346 0.654 0.000 Pd
0.346 0.692 0.346 Pd
0.654 0.000 0.346 Pd
0.654 0.308 0.654 Pd
0.654 0.346 0.000 Pd
0.654 0.654 0.308 Pd
0.692 0.346 0.346 Pd
```


# 5
VASP calculation (GGA-PBE) on a relaxed Ca3BiPd crystal.

Values from the calculation:
D(E_F)   0.572 states/eV per atom
ΔE to the lowest computed polymorph   0.0 meV per atom
Crystal system   triclinic
VASP energy   -3.5948 eV/atom
Spin magnetization   0.000 μB/atom

POSCAR file:
```
Ca3BiPd
1.0
5.638 0.000 0.000
-0.224 7.327 0.000
-0.948 -0.064 7.491
Ca Bi Pd
6 2 2
direct
0.000 0.000 0.000 Ca
0.016 0.656 0.364 Ca
0.452 0.836 0.696 Ca
0.514 0.333 0.120 Ca
0.875 0.121 0.497 Ca
0.967 0.512 0.854 Ca
0.413 0.339 0.647 Bi
0.510 0.796 0.138 Bi
0.029 0.319 0.200 Pd
0.334 0.047 0.370 Pd
```


# 6
VASP calculation (GGA-PBE) on a relaxed CaBi3Pd crystal.

Values from the calculation:
D(E_F)   0.428 states/eV per atom
ΔE to the lowest computed polymorph   80.6 meV per atom
Crystal system   monoclinic
VASP energy   -4.0921 eV/atom
Spin magnetization   0.000 μB/atom

POSCAR file:
```
CaBi3Pd
1.0
5.611 0.000 0.000
0.000 5.553 0.000
-0.288 0.000 9.516
Ca Bi Pd
2 6 2
direct
0.084 0.250 0.311 Ca
0.916 0.750 0.689 Ca
0.040 0.250 0.914 Bi
0.376 0.750 0.469 Bi
0.449 0.750 0.881 Bi
0.551 0.250 0.119 Bi
0.624 0.250 0.531 Bi
0.960 0.750 0.086 Bi
0.448 0.750 0.182 Pd
0.552 0.250 0.818 Pd
```


# 7
VASP calculation (GGA-PBE) on a relaxed CaBi2Pd8 crystal.

Values from the calculation:
D(E_F)   0.364 states/eV per atom
ΔE to the lowest computed polymorph   0.0 meV per atom
Crystal system   monoclinic
VASP energy   -4.9785 eV/atom
Spin magnetization   0.000 μB/atom

POSCAR file:
```
CaBi2Pd8
1.0
7.574 -2.092 0.000
7.574 2.092 0.000
-1.284 0.000 6.255
Ca Bi Pd
1 2 8
direct
0.000 0.000 0.000 Ca
0.349 0.349 0.790 Bi
0.651 0.651 0.210 Bi
0.090 0.090 0.461 Pd
0.176 0.176 0.906 Pd
0.277 0.277 0.354 Pd
0.455 0.455 0.281 Pd
0.545 0.545 0.719 Pd
0.723 0.723 0.646 Pd
0.824 0.824 0.094 Pd
0.910 0.910 0.539 Pd
```


# 8
VASP calculation (GGA-PBE) on a relaxed Ca2BiPd crystal.

Values from the calculation:
D(E_F)   0.400 states/eV per atom
Crystal system   tetragonal
VASP energy   -3.9250 eV/atom
Spin magnetization   0.000 μB/atom

POSCAR file:
```
Ca2BiPd
1.0
4.941 0.000 0.000
0.000 4.941 0.000
0.000 0.000 4.249
Ca Bi Pd
2 1 1
direct
0.000 0.500 0.000 Ca
0.500 0.000 0.000 Ca
0.000 0.000 0.500 Bi
0.500 0.500 0.500 Pd
```


# 9
VASP calculation (GGA-PBE) on a relaxed CaBi4Pd15 crystal.

Values from the calculation:
D(E_F)   0.405 states/eV per atom
Crystal system   tetragonal
VASP energy   -5.0739 eV/atom
Spin magnetization   0.000 μB/atom

POSCAR file:
```
CaBi4Pd15
1.0
4.141 0.000 0.000
0.000 4.141 0.000
0.000 0.000 20.593
Ca Bi Pd
1 4 15
direct
0.000 0.000 0.000 Ca
0.000 0.000 0.196 Bi
0.000 0.000 0.399 Bi
0.000 0.000 0.601 Bi
0.000 0.000 0.804 Bi
0.000 0.500 0.102 Pd
0.000 0.500 0.300 Pd
0.000 0.500 0.500 Pd
0.000 0.500 0.700 Pd
0.000 0.500 0.898 Pd
0.500 0.000 0.102 Pd
0.500 0.000 0.300 Pd
0.500 0.000 0.500 Pd
0.500 0.000 0.700 Pd
0.500 0.000 0.898 Pd
0.500 0.500 0.000 Pd
0.500 0.500 0.204 Pd
0.500 0.500 0.401 Pd
0.500 0.500 0.599 Pd
0.500 0.500 0.796 Pd
```


# 10
VASP calculation (GGA-PBE) on a relaxed Ca2BiPd2 crystal.

Values from the calculation:
D(E_F)   0.536 states/eV per atom
ΔE to the lowest computed polymorph   6.0 meV per atom
Crystal system   monoclinic
VASP energy   -4.3908 eV/atom
Spin magnetization   0.000 μB/atom

POSCAR file:
```
Ca2BiPd2
1.0
5.103 -2.865 0.000
5.103 2.865 0.000
-2.109 0.000 8.180
Ca Bi Pd
4 2 4
direct
0.007 0.692 0.849 Ca
0.308 0.993 0.651 Ca
0.692 0.007 0.349 Ca
0.993 0.308 0.151 Ca
0.312 0.688 0.250 Bi
0.688 0.312 0.750 Bi
0.236 0.496 0.510 Pd
0.496 0.236 0.010 Pd
0.504 0.764 0.990 Pd
0.764 0.504 0.490 Pd
```


# 11
VASP calculation (GGA-PBE) on a relaxed CaBiPd2 crystal.

Values from the calculation:
D(E_F)   0.891 states/eV per atom
Crystal system   tetragonal
VASP energy   -4.3289 eV/atom
Spin magnetization   0.000 μB/atom

POSCAR file:
```
CaBiPd2
1.0
-2.315 2.315 9.340
2.315 -2.315 9.340
2.315 2.315 -9.340
Ca Bi Pd
2 2 4
direct
0.000 0.000 0.000 Ca
0.750 0.250 0.500 Ca
0.250 0.750 0.500 Bi
0.500 0.500 0.000 Bi
0.198 0.625 0.073 Pd
0.375 0.448 0.573 Pd
0.552 0.125 0.927 Pd
0.875 0.802 0.427 Pd
```


# 12
VASP calculation (GGA-PBE) on a relaxed CaBi3Pd crystal.

Values from the calculation:
D(E_F)   0.628 states/eV per atom
ΔE to the lowest computed polymorph   295.4 meV per atom
Crystal system   cubic
VASP energy   -3.8774 eV/atom
Spin magnetization   0.000 μB/atom

POSCAR file:
```
CaBi3Pd
1.0
5.460 0.000 0.000
0.000 5.460 0.000
0.000 0.000 5.460
Ca Bi Pd
1 3 1
direct
0.000 0.000 0.000 Ca
0.000 0.500 0.500 Bi
0.500 0.000 0.500 Bi
0.500 0.500 0.000 Bi
0.500 0.500 0.500 Pd
```


# 13
VASP calculation (GGA-PBE) on a relaxed Ca2BiPd6 crystal.

Values from the calculation:
D(E_F)   0.457 states/eV per atom
ΔE to the lowest computed polymorph   0.0 meV per atom
Crystal system   monoclinic
VASP energy   -4.8426 eV/atom
Spin magnetization   0.000 μB/atom

POSCAR file:
```
Ca2BiPd6
1.0
5.011 -2.900 0.000
5.011 2.900 0.000
-1.557 0.000 6.259
Ca Bi Pd
2 1 6
direct
0.140 0.140 0.323 Ca
0.860 0.860 0.677 Ca
0.500 0.500 0.500 Bi
0.096 0.626 0.173 Pd
0.374 0.904 0.827 Pd
0.379 0.379 0.824 Pd
0.621 0.621 0.176 Pd
0.626 0.096 0.173 Pd
0.904 0.374 0.827 Pd
```


# 14
VASP calculation (GGA-PBE) on a relaxed CaBi5Pd3 crystal.

Values from the calculation:
D(E_F)   0.536 states/eV per atom
Crystal system   monoclinic
VASP energy   -4.3281 eV/atom
Spin magnetization   0.000 μB/atom

POSCAR file:
```
CaBi5Pd3
1.0
6.145 -4.413 0.000
6.145 4.413 0.000
-3.417 0.000 9.684
Ca Bi Pd
2 10 6
direct
0.104 0.104 0.292 Ca
0.896 0.896 0.708 Ca
0.025 0.621 0.371 Bi
0.231 0.231 0.024 Bi
0.305 0.695 0.000 Bi
0.379 0.975 0.629 Bi
0.415 0.415 0.606 Bi
0.585 0.585 0.394 Bi
0.621 0.025 0.371 Bi
0.695 0.305 0.000 Bi
0.769 0.769 0.976 Bi
0.975 0.379 0.629 Bi
0.000 0.000 0.000 Pd
0.000 0.000 0.500 Pd
0.330 0.330 0.822 Pd
0.346 0.346 0.303 Pd
0.654 0.654 0.697 Pd
0.670 0.670 0.178 Pd
```


# 15
VASP calculation (GGA-PBE) on a relaxed Ca2Bi3Pd5 crystal.

Values from the calculation:
D(E_F)   0.496 states/eV per atom
Crystal system   orthorhombic
VASP energy   -4.6937 eV/atom
Spin magnetization   0.000 μB/atom

POSCAR file:
```
Ca2Bi3Pd5
1.0
2.177 -13.334 0.000
2.177 13.334 0.000
0.000 0.000 7.577
Ca Bi Pd
4 6 10
direct
0.023 0.977 0.500 Ca
0.313 0.687 0.558 Ca
0.687 0.313 0.058 Ca
0.977 0.023 0.000 Ca
0.104 0.896 0.190 Bi
0.295 0.705 0.115 Bi
0.432 0.568 0.309 Bi
0.568 0.432 0.809 Bi
0.705 0.295 0.615 Bi
0.896 0.104 0.690 Bi
0.127 0.873 0.699 Pd
0.199 0.801 0.374 Pd
0.232 0.768 0.821 Pd
0.385 0.615 0.936 Pd
0.467 0.533 0.693 Pd
0.533 0.467 0.193 Pd
0.615 0.385 0.436 Pd
0.768 0.232 0.321 Pd
0.801 0.199 0.874 Pd
0.873 0.127 0.199 Pd
```


# 16
VASP calculation (GGA-PBE) on a relaxed CaBi2Pd6 crystal.

Values from the calculation:
D(E_F)   0.585 states/eV per atom
ΔE to the lowest computed polymorph   149.1 meV per atom
Crystal system   orthorhombic
VASP energy   -4.7517 eV/atom
Spin magnetization   0.000 μB/atom

POSCAR file:
```
CaBi2Pd6
1.0
-2.309 2.845 7.118
2.309 -2.845 7.118
2.309 2.845 -7.118
Ca Bi Pd
1 2 6
direct
0.000 0.000 0.000 Ca
0.362 0.862 0.500 Bi
0.638 0.138 0.500 Bi
0.056 0.310 0.746 Pd
0.268 0.500 0.768 Pd
0.436 0.690 0.746 Pd
0.564 0.310 0.254 Pd
0.732 0.500 0.232 Pd
0.944 0.690 0.254 Pd
```


# 17
VASP calculation (GGA-PBE) on a relaxed Ca4BiPd2 crystal.

Values from the calculation:
D(E_F)   0.395 states/eV per atom
Crystal system   tetragonal
VASP energy   -3.4646 eV/atom
Spin magnetization   0.000 μB/atom

POSCAR file:
```
Ca4BiPd2
1.0
-2.974 2.974 7.105
2.974 -2.974 7.105
2.974 2.974 -7.105
Ca Bi Pd
4 1 2
direct
0.000 0.500 0.500 Ca
0.218 0.218 0.000 Ca
0.500 0.000 0.500 Ca
0.782 0.782 0.000 Ca
0.000 0.000 0.000 Bi
0.407 0.407 0.000 Pd
0.593 0.593 0.000 Pd
```


# 18
VASP calculation (GGA-PBE) on a relaxed CaBi6Pd6 crystal.

Values from the calculation:
D(E_F)   0.514 states/eV per atom
Crystal system   orthorhombic
VASP energy   -4.6711 eV/atom
Spin magnetization   0.000 μB/atom

POSCAR file:
```
CaBi6Pd6
1.0
-2.953 4.790 5.163
2.953 -4.790 5.163
2.953 4.790 -5.163
Ca Bi Pd
1 6 6
direct
0.000 0.000 0.000 Ca
0.168 0.668 0.500 Bi
0.334 0.000 0.334 Bi
0.335 0.335 0.000 Bi
0.665 0.665 0.000 Bi
0.666 0.000 0.666 Bi
0.832 0.332 0.500 Bi
0.000 0.000 0.500 Pd
0.000 0.500 0.000 Pd
0.246 0.500 0.746 Pd
0.500 0.000 0.000 Pd
0.500 0.500 0.500 Pd
0.754 0.500 0.254 Pd
```


# 19
VASP calculation (GGA-PBE) on a relaxed CaBiPd6 crystal.

Values from the calculation:
D(E_F)   0.282 states/eV per atom
ΔE to the lowest computed polymorph   0.0 meV per atom
Crystal system   tetragonal
VASP energy   -5.0322 eV/atom
Spin magnetization   0.000 μB/atom

POSCAR file:
```
CaBiPd6
1.0
4.149 0.000 0.000
0.000 4.149 0.000
0.000 0.000 8.175
Ca Bi Pd
1 1 6
direct
0.000 0.000 0.000 Ca
0.000 0.000 0.500 Bi
0.000 0.500 0.255 Pd
0.000 0.500 0.745 Pd
0.500 0.000 0.255 Pd
0.500 0.000 0.745 Pd
0.500 0.500 0.000 Pd
0.500 0.500 0.500 Pd
```


# 20
VASP calculation (GGA-PBE) on a relaxed CaBi6Pd12 crystal.

Values from the calculation:
D(E_F)   0.331 states/eV per atom
Crystal system   trigonal
VASP energy   -4.8071 eV/atom
Spin magnetization   0.000 μB/atom

POSCAR file:
```
CaBi6Pd12
1.0
6.080 3.510 3.231
-6.080 3.510 3.231
0.000 -7.021 3.231
Ca Bi Pd
1 6 12
direct
0.000 0.000 0.000 Ca
0.264 0.264 0.674 Bi
0.264 0.674 0.264 Bi
0.326 0.736 0.736 Bi
0.674 0.264 0.264 Bi
0.736 0.326 0.736 Bi
0.736 0.736 0.326 Bi
0.108 0.345 0.345 Pd
0.117 0.500 0.883 Pd
0.117 0.883 0.500 Pd
0.345 0.108 0.345 Pd
0.345 0.345 0.108 Pd
0.500 0.117 0.883 Pd
0.500 0.883 0.117 Pd
0.655 0.655 0.892 Pd
0.655 0.892 0.655 Pd
0.883 0.117 0.500 Pd
0.883 0.500 0.117 Pd
0.892 0.655 0.655 Pd
```